1.
# SmCdNi | Alexandria via LeMat-Bulk | GGA-PBE | optimized geometry
data_SmCdNi
_symmetry_space_group_name_H-M 'I 4 m m'
_symmetry_Int_Tables_number 107
_symmetry_space_group_name_Hall 'I 4 -2'
_cell_length_a 3.4319
_cell_length_b 3.4319
_cell_length_c 10.7635
_cell_angle_alpha 90.00
_cell_angle_beta 90.00
_cell_angle_gamma 90.00
loop_
_atom_site_label
_atom_site_type_symbol
_atom_site_fract_x
_atom_site_fract_y
_atom_site_fract_z
Sm1 Sm 0.0000 0.0000 0.0000
Cd1 Cd 0.0000 0.0000 0.7137
Ni1 Ni 0.0000 0.0000 0.3496
# Total magnetic moment   0.00 μB per cell
# Calculated formation energy   -0.191 eV per atom

2.
# Pm5Nd5Th2 | Alexandria via LeMat-Bulk | GGA-PBE | optimized geometry
data_Pm5Nd5Th2
_symmetry_space_group_name_H-M 'P -1'
_symmetry_Int_Tables_number 2
_cell_length_a 6.3230
_cell_length_b 8.1702
_cell_length_c 8.9480
_cell_angle_alpha 111.37
_cell_angle_beta 90.14
_cell_angle_gamma 104.86
loop_
_symmetry_equiv_pos_as_xyz
'x,y,z'
'-x,-y,-z'
loop_
_atom_site_label
_atom_site_type_symbol
_atom_site_fract_x
_atom_site_fract_y
_atom_site_fract_z
Pm1 Pm 0.0000 0.0000 0.0000
Pm2 Pm 0.0874 0.7567 0.5821
Pm3 Pm 0.1698 0.5062 0.1678
Nd1 Nd 0.2481 0.2419 0.7438
Nd2 Nd 0.4183 0.7560 0.9185
Nd3 Nd 0.5000 0.5000 0.5000
Th1 Th 0.3384 0.0001 0.3368
# Total magnetic moment   0.00 μB per cell
# Calculated formation energy   0.040 eV per atom

3.
# RbYPS2 | Alexandria via LeMat-Bulk | GGA-PBE | optimized geometry
data_RbYPS2
_symmetry_space_group_name_H-M 'P 4/m m m'
_symmetry_Int_Tables_number 123
_symmetry_space_group_name_Hall '-P 4 2'
_cell_length_a 5.3465
_cell_length_b 5.3465
_cell_length_c 5.5536
_cell_angle_alpha 90.00
_cell_angle_beta 90.00
_cell_angle_gamma 90.00
loop_
_atom_site_label
_atom_site_type_symbol
_atom_site_fract_x
_atom_site_fract_y
_atom_site_fract_z
Rb1 Rb 0.0000 0.0000 0.0000
Y1 Y 0.5000 0.5000 0.5000
P1 P 0.5000 0.5000 0.0000
S1 S 0.0000 0.5000 0.5000
# Total magnetic moment   2.03 μB per cell
# Relative energy among the computed polymorphs   0 meV per atom